# 1
A plane-wave DFT calculation with meta-GGA SCAN was carried out for a crystal of ZnRuPb2 relaxed with PBEsol.

D(E_F)	4.5	states/eV per cell
calculated volume	157.6	Å³ per cell
raw total energy	-49.428	eV per atom
total magnetization	0.0	μB/f.u.
ΔH_f (0 K)	0.548	eV per atom

Cell: 4.1759 4.7802 7.8931 Å, 90.00 90.00 90.00°
Element x y z (fractional)
Zn  0.0000  0.0000  0.0000
Zn  0.5000  0.5000  0.5000
Ru  0.0000  0.0000  0.5000
Ru  0.5000  0.5000  0.0000
Pb  0.0000  0.5000  0.2468
Pb  0.0000  0.5000  0.7532
Pb  0.5000  0.0000  0.2532
Pb  0.5000  0.0000  0.7468

# 2
A plane-wave DFT calculation with meta-GGA SCAN was carried out for a crystal of ZnRuPb2 relaxed with PBEsol.

D(E_F)	3.2	states/eV per cell
calculated volume	174.0	Å³ per cell
raw total energy	-49.662	eV per atom
total magnetization	0.0	μB/f.u.
ΔH_f (0 K)	0.314	eV per atom

Cell: 8.4533 3.3330 6.2978 Å, 90.00 101.24 90.00°
Element x y z (fractional)
Zn  0.0000  0.0000  0.0000
Zn  0.5000  0.5000  0.0000
Ru  0.2268  0.5000  0.1153
Ru  0.7268  0.0000  0.1153
Pb  0.2415  0.0000  0.7496
Pb  0.4589  0.0000  0.3652
Pb  0.7415  0.5000  0.7496
Pb  0.9589  0.5000  0.3652

# 3
A plane-wave DFT calculation with meta-GGA SCAN was carried out for a crystal of ZrRuPb2 relaxed with PBEsol.

D(E_F)	1.7	states/eV per cell
calculated volume	80.4	Å³ per cell
raw total energy	-54.136	eV per atom
total magnetization	0.0	μB/f.u.
ΔH_f (0 K)	0.136	eV per atom

Cell: 3.3029 3.3029 7.3680 Å, 90.00 90.00 90.00°
Element x y z (fractional)
Zr  0.0000  0.0000  0.0000
Ru  0.0000  0.0000  0.5000
Pb  0.5000  0.5000  0.2773
Pb  0.5000  0.5000  0.7227

# 4
A plane-wave DFT calculation with meta-GGA SCAN was carried out for a crystal of ZrRu2Pb relaxed with PBEsol.

D(E_F)	5.3	states/eV per cell
calculated volume	140.1	Å³ per cell
raw total energy	-43.858	eV per atom
total magnetization	0.0	μB/f.u.
ΔH_f (0 K)	0.175	eV per atom

Cell: 5.9816 8.7330 3.0029 Å, 90.00 116.75 90.00°
Element x y z (fractional)
Zr  0.0000  0.0000  0.0000
Zr  0.5000  0.5000  0.0000
Ru  0.2500  0.2500  0.5000
Ru  0.2500  0.7500  0.5000
Ru  0.7500  0.2500  0.5000
Ru  0.7500  0.7500  0.5000
Pb  0.0000  0.5000  0.0000
Pb  0.5000  0.0000  0.0000

# 5
A plane-wave DFT calculation with meta-GGA SCAN was carried out for a crystal of ZrRu2Pb relaxed with PBEsol.

D(E_F)	3.5	states/eV per cell
calculated volume	71.0	Å³ per cell
raw total energy	-43.863	eV per atom
total magnetization	0.0	μB/f.u.
ΔH_f (0 K)	0.171	eV per atom

Cell: 3.0090 3.0090 7.8469 Å, 90.00 90.00 90.00°
Element x y z (fractional)
Zr  0.0000  0.0000  0.0000
Ru  0.0000  0.0000  0.4390
Ru  0.5000  0.5000  0.2504
Pb  0.5000  0.5000  0.6951

# 6
A plane-wave DFT calculation with meta-GGA SCAN was carried out for a crystal of ZrRu2Pb relaxed with PBEsol.

D(E_F)	2.2	states/eV per cell
calculated volume	70.1	Å³ per cell
raw total energy	-44.012	eV per atom
total magnetization	0.0	μB/f.u.
ΔH_f (0 K)	0.021	eV per atom

Cell: 3.1322 4.0968 5.4651 Å, 90.00 90.00 90.00°
Element x y z (fractional)
Zr  0.0000  0.0000  0.0000
Ru  0.0000  0.0000  0.5294
Ru  0.5000  0.5000  0.8147
Pb  0.5000  0.5000  0.3218

# 7
A plane-wave DFT calculation with meta-GGA SCAN was carried out for a crystal of PbS relaxed with PBEsol.

D(E_F)	0.0	states/eV per cell
calculated volume	103.6	Å³ per cell
raw total energy	-43.207	eV per atom
uncorrected formation energy	-0.502	eV per atom
total magnetization	0.0	μB/f.u.

Cell: 4.0537 4.0537 7.2778 Å, 90.00 90.00 120.00°
Element x y z (fractional)
Pb  0.0000  0.0000  0.0000
Pb  0.0000  0.0000  0.5000
S  0.3333  0.6667  0.2625
S  0.6667  0.3333  0.7625

# 8
A plane-wave DFT calculation with meta-GGA SCAN was carried out for a crystal of PbS relaxed with PBEsol.

calculated volume	225.1	Å³ per cell
raw total energy	-43.184	eV per atom
uncorrected formation energy	-0.480	eV per atom
total magnetization	0.0	μB/f.u.

Cell: 5.8334 3.9856 9.7171 Å, 90.00 94.98 90.00°
Element x y z (fractional)
Pb  0.2307  0.2500  0.3972
Pb  0.2487  0.7500  0.8937
Pb  0.7513  0.2500  0.1063
Pb  0.7693  0.7500  0.6028
S  0.0572  0.7500  0.1593
S  0.2600  0.7500  0.5941
S  0.7400  0.2500  0.4059
S  0.9428  0.2500  0.8407

# 9
A plane-wave DFT calculation with meta-GGA SCAN was carried out for a crystal of PbS relaxed with PBEsol.

calculated volume	198.7	Å³ per cell
raw total energy	-43.241	eV per atom
uncorrected formation energy	-0.537	eV per atom
total magnetization	0.0	μB/f.u.

Cell: 4.0838 11.5059 4.2289 Å, 90.00 90.00 90.00°
Element x y z (fractional)
Pb  0.0000  0.1261  0.2500
Pb  0.0000  0.8739  0.7500
Pb  0.5000  0.3739  0.7500
Pb  0.5000  0.6261  0.2500
S  0.0000  0.3596  0.2500
S  0.0000  0.6404  0.7500
S  0.5000  0.1404  0.7500
S  0.5000  0.8596  0.2500

# 10
A plane-wave DFT calculation with meta-GGA SCAN was carried out for a crystal of PbS relaxed with PBEsol.

calculated volume	204.0	Å³ per cell
raw total energy	-43.270	eV per atom
uncorrected formation energy	-0.565	eV per atom
total magnetization	0.0	μB/f.u.

Cell: 5.8868 5.8868 5.8868 Å, 90.00 90.00 90.00°
Element x y z (fractional)
Pb  0.0000  0.0000  0.0000
Pb  0.0000  0.5000  0.5000
Pb  0.5000  0.0000  0.5000
Pb  0.5000  0.5000  0.0000
S  0.0000  0.0000  0.5000
S  0.0000  0.5000  0.0000
S  0.5000  0.0000  0.0000
S  0.5000  0.5000  0.5000

# 11
A plane-wave DFT calculation with meta-GGA SCAN was carried out for a crystal of Sb4Pb4S11 relaxed with PBEsol.

D(E_F)	22.0	states/eV per cell
calculated volume	896.5	Å³ per cell
raw total energy	-29.672	eV per atom
uncorrected formation energy	-0.299	eV per atom
total magnetization	0.0	μB/f.u.

Cell: 15.0425 15.2611 3.9054 Å, 90.00 90.00 90.00°
Element x y z (fractional)
Sb  0.0019  0.2289  0.0000
Sb  0.1255  0.9862  0.0000
Sb  0.3745  0.4862  0.0000
Sb  0.4981  0.7289  0.0000
Sb  0.5019  0.2711  0.0000
Sb  0.6255  0.5138  0.0000
Sb  0.8745  0.0138  0.0000
Sb  0.9981  0.7711  0.0000
Pb  0.1234  0.4404  0.5000
Pb  0.2453  0.1906  0.5000
Pb  0.2547  0.6906  0.5000
Pb  0.3766  0.9404  0.5000
Pb  0.6234  0.0596  0.5000
Pb  0.7453  0.3094  0.5000
Pb  0.7547  0.8094  0.5000
Pb  0.8766  0.5596  0.5000
S  0.0000  0.5000  0.0000
S  0.0459  0.6680  0.5000
S  0.0707  0.1097  0.5000
S  0.1498  0.2969  0.0000
S  0.1705  0.8819  0.5000
S  0.2269  0.5541  0.0000
S  0.2731  0.0541  0.0000
S  0.3295  0.3819  0.5000
S  0.3502  0.7969  0.0000
S  0.4293  0.6097  0.5000
S  0.4541  0.1680  0.5000
S  0.5000  0.0000  0.0000
S  0.5459  0.8320  0.5000
S  0.5707  0.3903  0.5000
S  0.6498  0.2031  0.0000
S  0.6705  0.6181  0.5000
S  0.7269  0.9459  0.0000
S  0.7731  0.4459  0.0000
S  0.8295  0.1181  0.5000
S  0.8502  0.7031  0.0000
S  0.9293  0.8903  0.5000
S  0.9541  0.3320  0.5000

# 12
A plane-wave DFT calculation with meta-GGA SCAN was carried out for a crystal of Sb8Pb5S17 relaxed with PBEsol.

calculated volume	1479.3	Å³ per cell
raw total energy	-28.386	eV per atom
uncorrected formation energy	-0.364	eV per atom
total magnetization	0.0	μB/f.u.

Cell: 8.8723 8.8723 19.8120 Å, 102.49 102.49 81.87°
Element x y z (fractional)
Sb  0.0178  0.9792  0.8971
Sb  0.0208  0.9822  0.6029
Sb  0.0423  0.4176  0.9161
Sb  0.2955  0.6843  0.4730
Sb  0.3157  0.7045  0.0270
Sb  0.3353  0.5785  0.8348
Sb  0.4176  0.0423  0.4161
Sb  0.4215  0.6647  0.6652
Sb  0.5785  0.3353  0.3348
Sb  0.5824  0.9577  0.5839
Sb  0.6647  0.4215  0.1652
Sb  0.6843  0.2955  0.9730
Sb  0.7045  0.3157  0.5270
Sb  0.9577  0.5824  0.0839
Sb  0.9792  0.0178  0.3971
Sb  0.9822  0.0208  0.1029
Pb  0.0989  0.3594  0.3205
Pb  0.1786  0.3498  0.5515
Pb  0.3162  0.6838  0.2500
Pb  0.3498  0.1786  0.0515
Pb  0.3594  0.0989  0.8205
Pb  0.6406  0.9011  0.1795
Pb  0.6502  0.8214  0.9485
Pb  0.6838  0.3162  0.7500
Pb  0.8214  0.6502  0.4485
Pb  0.9011  0.6406  0.6795
S  0.0183  0.1923  0.0025
S  0.0324  0.1870  0.8210
S  0.0518  0.5940  0.8333
S  0.0623  0.6807  0.5641
S  0.0696  0.6935  0.3749
S  0.1870  0.0324  0.3210
S  0.1923  0.0183  0.5025
S  0.2374  0.7626  0.7500
S  0.2510  0.5275  0.1025
S  0.3065  0.9304  0.1251
S  0.3193  0.9377  0.9359
S  0.3473  0.3591  0.2430
S  0.3475  0.3893  0.4398
S  0.3591  0.3473  0.7430
S  0.3893  0.3475  0.9398
S  0.4060  0.9482  0.6667
S  0.4725  0.7490  0.3975
S  0.5275  0.2510  0.6025
S  0.5940  0.0518  0.3333
S  0.6107  0.6525  0.0602
S  0.6409  0.6527  0.2570
S  0.6525  0.6107  0.5602
S  0.6527  0.6409  0.7570
S  0.6807  0.0623  0.0641
S  0.6935  0.0696  0.8749
S  0.7490  0.4725  0.8975
S  0.7626  0.2374  0.2500
S  0.8077  0.9817  0.4975
S  0.8130  0.9676  0.6790
S  0.9304  0.3065  0.6251
S  0.9377  0.3193  0.4359
S  0.9482  0.4060  0.1667
S  0.9676  0.8130  0.1790
S  0.9817  0.8077  0.9975

# 13
A plane-wave DFT calculation with meta-GGA SCAN was carried out for a crystal of Sb8Pb3S15 relaxed with PBEsol.

D(E_F)	0.0	states/eV per cell
calculated volume	1296.5	Å³ per cell
raw total energy	-26.096	eV per atom
uncorrected formation energy	-0.333	eV per atom
total magnetization	0.0	μB/f.u.

Cell: 8.7735 8.7735 17.0982 Å, 93.75 93.75 81.41°
Element x y z (fractional)
Sb  0.0451  0.1372  0.4212
Sb  0.1153  0.6074  0.9411
Sb  0.1372  0.0451  0.9212
Sb  0.2313  0.5859  0.1548
Sb  0.2360  0.5039  0.4926
Sb  0.3926  0.8847  0.5589
Sb  0.4141  0.7687  0.3452
Sb  0.4961  0.7640  0.0074
Sb  0.5039  0.2360  0.9926
Sb  0.5859  0.2313  0.6548
Sb  0.6074  0.1153  0.4411
Sb  0.7640  0.4961  0.5074
Sb  0.7687  0.4141  0.8452
Sb  0.8628  0.9549  0.0788
Sb  0.8847  0.3926  0.0589
Sb  0.9549  0.8628  0.5788
Pb  0.1161  0.2636  0.6700
Pb  0.2636  0.1161  0.1700
Pb  0.3662  0.6338  0.7500
Pb  0.6338  0.3662  0.2500
Pb  0.7364  0.8839  0.8300
Pb  0.8839  0.7364  0.3300
S  0.0529  0.4000  0.8402
S  0.0525  0.5687  0.6009
S  0.0668  0.8006  0.8370
S  0.1089  0.8290  0.4611
S  0.1710  0.8911  0.0389
S  0.1807  0.8193  0.2500
S  0.1994  0.9332  0.6630
S  0.2283  0.2955  0.0349
S  0.2955  0.2283  0.5349
S  0.3093  0.4029  0.2560
S  0.3972  0.5500  0.9146
S  0.4000  0.0529  0.3402
S  0.4029  0.3093  0.7560
S  0.4313  0.9475  0.8991
S  0.4500  0.6028  0.5854
S  0.5500  0.3972  0.4146
S  0.5687  0.0525  0.1009
S  0.5971  0.6907  0.2440
S  0.6000  0.9471  0.6598
S  0.6028  0.4500  0.0854
S  0.6907  0.5971  0.7440
S  0.7045  0.7717  0.4651
S  0.7717  0.7045  0.9651
S  0.8006  0.0668  0.3370
S  0.8193  0.1807  0.7500
S  0.8290  0.1089  0.9611
S  0.8911  0.1710  0.5389
S  0.9332  0.1994  0.1630
S  0.9475  0.4313  0.3991
S  0.9471  0.6000  0.1598

# 14
A plane-wave DFT calculation with meta-GGA SCAN was carried out for a crystal of Sb2Pb2S5 relaxed with PBEsol.

calculated volume	867.9	Å³ per cell
raw total energy	-30.859	eV per atom
uncorrected formation energy	-0.390	eV per atom
total magnetization	0.0	μB/f.u.

Cell: 19.6001 3.9635 11.1726 Å, 90.00 90.00 90.00°
Element x y z (fractional)
Sb  0.0261  0.2500  0.2046
Sb  0.1291  0.2500  0.8852
Sb  0.3709  0.7500  0.3852
Sb  0.4739  0.7500  0.7046
Sb  0.5261  0.2500  0.2954
Sb  0.6291  0.2500  0.6148
Sb  0.8709  0.7500  0.1148
Sb  0.9739  0.7500  0.7954
Pb  0.0978  0.7500  0.5039
Pb  0.2105  0.7500  0.1736
Pb  0.2895  0.2500  0.6736
Pb  0.4022  0.2500  0.0039
Pb  0.5978  0.7500  0.9961
Pb  0.7105  0.7500  0.3264
Pb  0.7895  0.2500  0.8264
Pb  0.9022  0.2500  0.4961
S  0.0208  0.2500  0.6395
S  0.0778  0.7500  0.0663
S  0.1326  0.2500  0.3194
S  0.1690  0.7500  0.7530
S  0.2363  0.2500  0.9948
S  0.2637  0.7500  0.4948
S  0.3310  0.2500  0.2530
S  0.3674  0.7500  0.8194
S  0.4222  0.2500  0.5663
S  0.4792  0.7500  0.1395
S  0.5208  0.2500  0.8605
S  0.5778  0.7500  0.4337
S  0.6326  0.2500  0.1806
S  0.6690  0.7500  0.7470
S  0.7363  0.2500  0.5052
S  0.7637  0.7500  0.0052
S  0.8310  0.2500  0.2470
S  0.8674  0.7500  0.6806
S  0.9222  0.2500  0.9337
S  0.9792  0.7500  0.3605

# 15
A plane-wave DFT calculation with meta-GGA SCAN was carried out for a crystal of Sb8Pb7S19 relaxed with PBEsol.

calculated volume	1668.9	Å³ per cell
raw total energy	-30.130	eV per atom
uncorrected formation energy	-0.381	eV per atom
total magnetization	0.0	μB/f.u.

Cell: 8.9459 8.9459 21.0544 Å, 90.74 90.74 82.14°
Element x y z (fractional)
Sb  0.0283  0.2228  0.4981
Sb  0.1008  0.7210  0.6753
Sb  0.2228  0.0283  0.9981
Sb  0.2311  0.4711  0.3987
Sb  0.2790  0.8992  0.8247
Sb  0.3692  0.4039  0.0504
Sb  0.4039  0.3692  0.5504
Sb  0.4711  0.2311  0.8987
Sb  0.5289  0.7689  0.1013
Sb  0.5961  0.6308  0.4496
Sb  0.6308  0.5961  0.9496
Sb  0.7210  0.1008  0.1753
Sb  0.7689  0.5289  0.6013
Sb  0.7772  0.9717  0.0019
Sb  0.8992  0.2790  0.3247
Sb  0.9717  0.7772  0.5019
Pb  0.0799  0.6256  0.9237
Pb  0.0881  0.7452  0.1304
Pb  0.1283  0.2610  0.6898
Pb  0.2548  0.9119  0.3696
Pb  0.2610  0.1283  0.1898
Pb  0.3744  0.9201  0.5763
Pb  0.4950  0.5050  0.2500
Pb  0.5050  0.4950  0.7500
Pb  0.6256  0.0799  0.4237
Pb  0.7390  0.8717  0.8102
Pb  0.7452  0.0881  0.6304
Pb  0.8717  0.7390  0.3102
Pb  0.9119  0.2548  0.8696
Pb  0.9201  0.3744  0.0763
S  0.0341  0.0490  0.0831
S  0.0490  0.0341  0.5831
S  0.0566  0.9434  0.7500
S  0.1080  0.4359  0.5734
S  0.1223  0.3261  0.9767
S  0.1748  0.5328  0.7558
S  0.1772  0.2550  0.3221
S  0.1913  0.6410  0.3080
S  0.2084  0.4338  0.1439
S  0.2550  0.1772  0.8221
S  0.2743  0.7212  0.0247
S  0.2788  0.7257  0.4753
S  0.3261  0.1223  0.4767
S  0.3590  0.8087  0.1920
S  0.4083  0.5118  0.8825
S  0.4338  0.2084  0.6439
S  0.4359  0.1080  0.0734
S  0.4672  0.8252  0.7442
S  0.4882  0.5917  0.6175
S  0.5118  0.4083  0.3825
S  0.5328  0.1748  0.2558
S  0.5641  0.8920  0.9266
S  0.5662  0.7916  0.3561
S  0.5917  0.4882  0.1175
S  0.6410  0.1913  0.8080
S  0.6739  0.8777  0.5233
S  0.7212  0.2743  0.5247
S  0.7257  0.2788  0.9753
S  0.7450  0.8228  0.1779
S  0.7916  0.5662  0.8561
S  0.8087  0.3590  0.6920
S  0.8228  0.7450  0.6779
S  0.8252  0.4672  0.2442
S  0.8777  0.6739  0.0233
S  0.8920  0.5641  0.4266
S  0.9434  0.0566  0.2500
S  0.9510  0.9659  0.4169
S  0.9659  0.9510  0.9169

# 16
A plane-wave DFT calculation with meta-GGA SCAN was carried out for a crystal of ScPbS2 relaxed with PBEsol.

D(E_F)	2.8	states/eV per cell
calculated volume	287.5	Å³ per cell
raw total energy	-28.744	eV per atom
uncorrected formation energy	-1.425	eV per atom
total magnetization	0.0	μB/f.u.

Cell: 3.6214 3.6214 25.3124 Å, 90.00 90.00 120.00°
Element x y z (fractional)
Sc  0.0000  0.0000  0.0000
Sc  0.3333  0.6667  0.6667
Sc  0.6667  0.3333  0.3333
Pb  0.0000  0.0000  0.5000
Pb  0.3333  0.6667  0.1667
Pb  0.6667  0.3333  0.8333
S  0.0000  0.0000  0.3899
S  0.0000  0.0000  0.6101
S  0.3333  0.6667  0.0565
S  0.3333  0.6667  0.2768
S  0.6667  0.3333  0.7232
S  0.6667  0.3333  0.9435